No. 1
Here is a relaxed structure of LaTc2Rh from the Alexandria database. Energies are from GGA-PBEsol.

abc: 4.3891 4.3891 7.0161
angles: 90.00 90.00 90.00
Closest atoms and distances in Å follow each position.
Space group I-4m2 (No. 119)
Symmetry-distinct sites (fractional):
La1 0.0000 0.0000 0.0000 (multiplicity 2)  8 Tc 2.81-3.10, 4 Rh 2.81
Tc1 0.0000 0.0000 0.5000 (multiplicity 2)  4 Tc 2.81, 4 Rh 2.81, 4 La 3.10
Tc2 0.0000 0.5000 0.7500 (multiplicity 2)  4 La 2.81, 4 Tc 2.81, 4 Rh 3.10
Rh1 0.0000 0.5000 0.2500 (multiplicity 2)  4 La 2.81, 8 Tc 2.81-3.10

Formation energy: 0.331 eV per atom



No. 2
Here is a relaxed structure of Na2LaHfRh from the Alexandria database. Energies are from GGA-PBEsol.

abc: 5.4155 5.4155 4.7066
angles: 90.00 90.00 90.00
Closest atoms and distances in Å follow each position.
Space group P4/mmm (No. 123)
Symmetry-distinct sites (fractional):
Na1 0.0000 0.5000 0.0000 (multiplicity 2)  2 La 2.71
La1 0.0000 0.0000 0.0000 (multiplicity 1)  2 Rh 2.35
Hf1 0.5000 0.5000 0.5000 (multiplicity 1)  8 Na 3.59, 4 Rh 3.83
Rh1 0.0000 0.0000 0.5000 (multiplicity 1)  2 La 2.35

Formation energy: 1.263 eV per atom



No. 3
Here is a relaxed structure of Li2Mg2Pb from the Alexandria database. Energies are from GGA-PBEsol.

abc: 3.7039 3.7039 16.6680
angles: 90.00 90.00 90.00
Closest atoms and distances in Å follow each position.
Space group I4/mmm (No. 139)
Symmetry-distinct sites (fractional):
Li1 0.0000 0.5000 0.2500 (multiplicity 4)  4 Li 2.62
Mg1 0.0000 0.0000 0.1072 (multiplicity 4)  4 Li 3.02, 4 Pb 3.17
Pb1 0.0000 0.0000 0.5000 (multiplicity 2)  8 Mg 3.17

Formation energy: 0.044 eV per atom



No. 4
Here is a relaxed structure of Co2NiBr from the Alexandria database. Energies are from GGA-PBEsol.

abc: 3.3627 3.3627 17.5741
angles: 90.00 90.00 120.00
Closest atoms and distances in Å follow each position.
Space group R3m (No. 160, hexagonal axes)
Symmetry-distinct sites (fractional):
Co1 0.0000 0.0000 0.0000 (multiplicity 3)  3 Co 2.22, 3 Ni 2.30
Co2 0.0000 0.0000 0.2723 (multiplicity 3)  3 Co 2.22
Ni1 0.0000 0.0000 0.7364 (multiplicity 3)  3 Co 2.30
Br1 0.0000 0.0000 0.5012 (multiplicity 3)  3 Ni 2.60, 3 Co 2.67

Formation energy (no corrections): 55 kJ per mole of atoms



No. 5
Here is a relaxed structure of FePt4Se from the Alexandria database. Energies are from GGA-PBEsol.

abc: 7.3564 7.3564 7.3564
angles: 90.00 90.00 90.00
Closest atoms and distances in Å follow each position.
Space group F-43m (No. 216)
Symmetry-distinct sites (fractional):
Fe1 0.0000 0.0000 0.0000 (multiplicity 4)  12 Pt 3.05, 4 Se 3.19
Pt1 0.1251 0.1251 0.6251 (multiplicity 16)  6 Pt 2.60
Se1 0.2500 0.2500 0.2500 (multiplicity 4)  12 Pt 3.05, 4 Fe 3.19

Formation energy (no corrections): 43 kJ per mole of atoms



No. 6
Here is a relaxed structure of LaP2Ir from the Alexandria database. Energies are from GGA-PBEsol.

abc: 3.9123 3.9123 16.3794
angles: 90.00 90.00 120.00
Closest atoms and distances in Å follow each position.
Space group R-3m (No. 166, hexagonal axes)
Symmetry-distinct sites (fractional):
La1 0.0000 0.0000 0.0000 (multiplicity 3)  6 P 2.88
P1 0.0000 0.0000 0.2239 (multiplicity 6)  3 Ir 2.45
Ir1 0.0000 0.0000 0.5000 (multiplicity 3)  6 P 2.45

Formation energy: -1.135 eV per atom



No. 7
Here is a relaxed structure of NaLa3Tc from the Alexandria database. Energies are from GGA-PBEsol.

abc: 5.5181 5.5181 5.5181
angles: 90.00 90.00 90.00
Closest atoms and distances in Å follow each position.
Space group Pm-3m (No. 221)
Symmetry-distinct sites (fractional):
Na1 0.0000 0.0000 0.0000 (multiplicity 1)  12 La 3.90
La1 0.0000 0.5000 0.5000 (multiplicity 3)  2 Tc 2.76
Tc1 0.5000 0.5000 0.5000 (multiplicity 1)  6 La 2.76

Formation energy: 0.121 eV per atom



No. 8
Here is a relaxed structure of Se2Br from the Alexandria database. Energies are from GGA-PBEsol.

abc: 13.0793 3.6280 7.5790
angles: 90.00 111.99 90.00
Closest atoms and distances in Å follow each position.
Space group C2/m (No. 12)
Symmetry-distinct sites (fractional):
Se1 0.0473 0.0000 0.1738 (multiplicity 4)  3 Se 2.46-2.52
Se2 0.0653 0.5000 0.7538 (multiplicity 4)  2 Se 2.52, 2 Br 2.71
Br1 0.1837 0.0000 0.6447 (multiplicity 4)  2 Se 2.71

Formation energy (no corrections): -5 kJ per mole of atoms